Below is crystalline Nd2OsPb at its relaxed geometry, with properties calculated at the PBE level.

Geometry as CIF:
```
data_Nd2OsPb
_chemical_formula_sum 'Nd2 Os1 Pb1'
_cell_length_a 3.4846
_cell_length_b 3.4846
_cell_length_c 8.8024
_cell_angle_alpha 90.00
_cell_angle_beta 90.00
_cell_angle_gamma 90.00
_symmetry_space_group_name_H-M 'P 4/m m m'
_symmetry_Int_Tables_number 123
_symmetry_space_group_name_Hall '-P 4 2'
loop_
_atom_site_label
_atom_site_type_symbol
_atom_site_fract_x
_atom_site_fract_y
_atom_site_fract_z
Nd1 Nd 0.0000 0.0000 0.1981
Os1 Os 0.5000 0.5000 0.0000
Pb1 Pb 0.5000 0.5000 0.5000
```

VASP energy   -6.350 eV per atom
Calculated density   10.66 g/cm3